Compound: KICl2
Source: the Alexandria database
Functional: SCAN
Structure: PBEsol geometry

Output
Calculated density in Mg/m³: 2.987
DOS(E_F) in states/eV per cell: 0.00
Raw formation energy in eV per atom: -1.218
Calculated total energy in eV/atom: -16.47

abc: 8.390 10.929 12.120
angles: 90.00 108.54 90.00
Space group P2_1/c (No. 14)
Inequivalent atoms, fractional coordinates:
K1 0.033 0.198 0.406 (multiplicity 4)
K2 0.459 0.058 0.188 (multiplicity 4)
I1 0.131 0.518 0.385 (multiplicity 4)
I2 0.286 0.597 0.919 (multiplicity 4)
Cl1 0.103 0.177 0.161 (multiplicity 4)
Cl2 0.236 0.009 0.592 (multiplicity 4)
Cl3 0.325 0.698 0.739 (multiplicity 4)
Cl4 0.365 0.143 0.929 (multiplicity 4)